# LiThGa4Cu2, relaxed, DFT PBE
# Magnetic moment ... 0.00 μB per cell
# Energy relative to the elements ... -0.312 eV per atom
# Final energy ... -0.14761 Ha/atom
# D(E_F) ... 7.4 states/eV/cell
data_LiThGa4Cu2
_chemical_formula_sum 'Li3 Th3 Ga12 Cu6'
_symmetry_space_group_name_H-M 'R -3 m'
_symmetry_Int_Tables_number 166
_symmetry_space_group_name_Hall '-R 3 2"'
_cell_length_a 4.2474
_cell_length_b 4.2474
_cell_length_c 26.0899
_cell_angle_alpha 90.00
_cell_angle_beta 90.00
_cell_angle_gamma 120.00
loop_
_atom_site_label
_atom_site_type_symbol
_atom_site_fract_x
_atom_site_fract_y
_atom_site_fract_z
_atom_site_occupancy
Li1 Li 0.0000 0.0000 0.0000 1
Th1 Th 0.0000 0.0000 0.5000 1
Ga1 Ga 0.0000 0.0000 0.0985 1
Ga2 Ga 0.0000 0.0000 0.3715 1
Cu1 Cu 0.0000 0.0000 0.2667 1